Density functional theory data (PBE+U) for K2FeH4S2O10 after structural relaxation.

Cell lengths 7.084, 7.132, 5.240 Å; angles 95.44, 105.98, 103.28 degrees
Positions (direct):
K 0.128 0.764 0.775
K 0.872 0.236 0.225
Fe 0.500 0.500 0.500
H 0.559 0.848 0.749
H 0.441 0.152 0.251
H 0.551 0.865 0.441
H 0.449 0.135 0.559
S 0.218 0.287 0.862
S 0.782 0.713 0.138
O 0.259 0.424 0.119
O 0.741 0.576 0.881
O 0.006 0.166 0.776
O 0.994 0.834 0.224
O 0.364 0.162 0.902
O 0.636 0.838 0.098
O 0.248 0.409 0.650
O 0.752 0.591 0.350
O 0.479 0.798 0.556
O 0.521 0.202 0.444

## Properties
Offset from the most stable computed form   2 meV/atom
E   -5.664 eV per atom